[1]
PBE SeSF, relaxed; symmetry = P-1, No. 2; energy relative to the elements, uncorrected = -332 meV/atom; magnetization = 0.00 μB/cell
1.0
-0.3613 -1.5053 -3.2297
-2.8020 -7.0131 4.0905
-1.4090 7.1923 -1.7104
F Se S
2 2 2
Direct
0.8819 0.7050 0.3234
0.1181 0.2950 0.6766
0.8544 0.3699 0.1327
0.1456 0.6301 0.8673
0.0000 0.0000 0.0000
0.5000 0.5000 0.5000

[2]
PBE LaNdMg3, relaxed; formation energy = 0.0514 eV per atom; symmetry = Cmcm, No. 63; magnetization = 0.00 μB/cell
1.0
5.9155 0.0000 0.0000
0.0000 5.9185 0.0000
0.0000 -2.9593 8.7374
Mg La Nd
6 2 2
Direct
0.0000 0.0000 0.0000
0.5000 0.0000 0.0000
0.7500 0.6225 0.7498
0.2500 0.8727 0.2502
0.7500 0.1273 0.7498
0.2500 0.3775 0.2502
0.2500 0.7986 0.5972
0.7500 0.2014 0.4028
0.7500 0.5698 0.1396
0.2500 0.4302 0.8604

[3]
PBE MgScBr2, relaxed; symmetry = Cm, No. 8; energy relative to the elements, uncorrected = -860 meV/atom; magnetization = 0.91 μB/cell
1.0
5.2407 -0.0095 -0.1802
4.0689 3.3030 -0.1802
2.3773 0.8410 6.5803
Mg Br Sc
1 2 1
Direct
0.6057 0.6057 0.4805
0.9230 0.9230 0.1481
0.7491 0.7491 0.7781
0.2222 0.2222 0.0933

[4]
PBE Na2TlCu, relaxed; formation energy = 0.3522 eV per atom; symmetry = R-3m, No. 166; magnetization = 0.00 μB/cell
1.0
-1.0838 3.0545 -0.5730
-1.1022 0.8212 -2.9905
-10.9591 -1.7894 1.7368
Na Cu Tl
2 1 1
Direct
0.0825 0.0825 0.7526
0.9175 0.9175 0.2474
0.0000 0.0000 0.0000
0.5000 0.5000 0.5000

[5]
PBE LiIrRh2, relaxed; formation energy = 0.0249 eV per atom; symmetry = P4mm, No. 99; magnetization = 0.00 μB/cell
1.0
-1.9683 -1.7100 0.8940
-0.7491 -0.4998 -2.6051
4.5972 -5.4374 -0.2787
Rh Li Ir
2 1 1
Direct
0.0000 0.0000 0.9886
0.5000 0.5000 0.2514
0.5000 0.5000 0.7519
0.0000 0.0000 0.5082

[6]
PBE NbPd2Ru, relaxed; formation energy = 0.1412 eV per atom; symmetry = I-42d, No. 122; magnetization = 0.00 μB/cell
1.0
3.7574 0.0000 0.0000
0.0000 3.7574 0.0000
1.8787 1.8787 9.4379
Pd Ru Nb
4 2 2
Direct
0.1202 0.6250 0.2500
0.8750 0.8798 0.7500
0.3750 0.3702 0.7500
0.6298 0.1250 0.2500
0.7500 0.2500 0.5000
0.0000 0.0000 0.0000
0.5000 0.5000 0.0000
0.2500 0.7500 0.5000

[7]
PBE Be2CuGe2, relaxed; formation energy = 0.5080 eV per atom; symmetry = I4/mmm, No. 139; magnetization = 0.00 μB/cell
1.0
3.6746 0.0000 0.0000
0.0000 3.6746 0.0000
1.8373 1.8373 5.3156
Be Ge Cu
2 2 1
Direct
0.5978 0.5978 0.8044
0.4022 0.4022 0.1956
0.7500 0.2500 0.5000
0.2500 0.7500 0.5000
0.0000 0.0000 0.0000

[8]
PBE MgCuO2, relaxed; symmetry = P-1, No. 2; energy relative to the elements, uncorrected = -1475 meV/atom; magnetization = 0.01 μB/cell
1.0
-0.6912 -0.1629 -2.7674
-3.3251 7.1275 1.8708
7.4409 3.7536 -0.6136
Cu O Mg
4 8 4
Direct
0.9301 0.7889 0.5714
0.2989 0.9266 0.1736
0.0699 0.2111 0.4286
0.7011 0.0734 0.8264
0.3062 0.2216 0.8904
0.9056 0.0900 0.2247
0.9266 0.5658 0.7938
0.3238 0.7135 0.4323
0.6938 0.7784 0.1096
0.0734 0.4342 0.2062
0.0944 0.9100 0.7753
0.6762 0.2865 0.5677
0.5424 0.7184 0.8742
0.4576 0.2816 0.1258
0.3076 0.4033 0.7158
0.6924 0.5967 0.2842

[9]
PBE RbCdB2, relaxed; formation energy = 1.3532 eV per atom; symmetry = I4_1/amd, No. 141; magnetization = 0.00 μB/cell
1.0
-0.1792 -0.7444 4.6286
-1.6945 -4.3085 -0.7585
6.5091 -5.4236 1.7573
Rb Cd B
2 2 4
Direct
0.5000 0.5000 0.0000
0.2500 0.7500 0.5000
0.0000 0.0000 0.0000
0.7500 0.2500 0.5000
0.8750 0.6250 0.2500
0.3750 0.1250 0.7500
0.8750 0.1250 0.7500
0.8750 0.1250 0.2500

[10]
PBE Sb2TePtRh, relaxed; symmetry = P4/mmm, No. 123; energy relative to the elements, uncorrected = 566 meV/atom; magnetization = 0.00 μB/cell
1.0
-0.6510 4.8860 -0.7943
-3.9468 -0.0287 3.0578
3.1428 1.0799 4.0667
Te Rh Sb Pt
1 1 2 1
Direct
0.0000 0.0000 0.5000
0.0000 0.0000 0.0000
0.5000 0.0000 0.0000
0.0000 0.5000 0.0000
0.5000 0.5000 0.5000

[11]
PBE Al2MoHN, relaxed; total DFT energy (no corrections) = -0.416 Ry per atom; symmetry = P4/mmm, No. 123; magnetization = 1.26 μB/cell
1.0
4.7370 0.0000 0.0000
0.0000 2.6338 0.0000
0.0000 0.0000 4.7370
Al Mo H N
2 1 1 1
Direct
0.0000 0.0000 0.5000
0.5000 0.0000 0.0000
0.5000 0.5000 0.5000
0.0000 0.5000 0.0000
0.0000 0.0000 0.0000

[12]
PBE Dy7Ho3Sc2, relaxed; formation energy = 0.3032 eV per atom; symmetry = R-3m, No. 166; magnetization = 0.00 μB/cell
1.0
6.2584 0.0000 1.3761
2.9779 5.5045 1.3761
0.7743 0.4615 11.3975
Ho Dy Sc
3 7 2
Direct
0.0000 0.0000 0.0000
0.8480 0.8480 0.4561
0.1520 0.1520 0.5439
0.4162 0.4162 0.2474
0.9201 0.4162 0.2474
0.5000 0.5000 0.5000
0.4162 0.9201 0.2474
0.5838 0.5838 0.7526
0.5838 0.0799 0.7526
0.0799 0.5838 0.7526
0.3334 0.3334 0.9998
0.6666 0.6666 0.0002